[1]
First-principles (PBE) data for a relaxed structure of SrNiAg2, as listed in Alexandria.

Computed properties:
DFT formation energy: 129 meV/atom
space-group type: P4mm

The structure in extended XYZ format:
```
4
Lattice="-0.2158 -3.4076 0.7683 1.4510 0.6128 3.1253 -6.2808 1.0105 2.7179" Properties=species:S:1:pos:R:3 pbc="T T T"
Ag -1.0978 -1.1214 2.6891
Ag -0.3397 0.0547 0.1470
Sr -3.9657 -0.6600 3.9301
Ni -2.7828 0.4477 1.2042
```

[2]
First-principles (PBE) data for a relaxed structure of La2SbSe, as listed in Alexandria.

Computed properties:
formation energy without anion corrections: -157 kJ/mol of atoms
distance to the lowest polymorph of the same formula: 1.08 kJ/mol of atoms
space-group type: P4/mmm

The structure in extended XYZ format:
```
4
Lattice="-0.1736 -4.7849 4.1520 3.7709 1.5106 1.8986 -2.4237 2.5235 2.8067" Properties=species:S:1:pos:R:3 pbc="T T T"
Sb 0.5047 1.5128 1.7645
Se 1.0926 1.1374 6.1931
La 1.1782 3.5298 4.1171
La 0.4189 -0.8797 3.8405
```

[3]
First-principles (PBE) data for a relaxed structure of HoTmAlZn, as listed in Alexandria.

Computed properties:
distance to the lowest polymorph of the same formula: 0.84 kJ/mol of atoms
DFT formation energy: -375 meV/atom
space-group type: F-43m

The structure in extended XYZ format:
```
4
Lattice="-3.4306 -1.2010 -3.4783 -4.3316 -2.1557 1.3783 -4.3028 2.5908 -0.2890" Properties=species:S:1:pos:R:3 pbc="T T T"
Ho -9.0487 -0.5744 -1.7918
Tm -3.0162 -0.1915 -0.5973
Al -6.0325 -0.3830 -1.1945
Zn 0.0000 0.0000 0.0000
```

[4]
First-principles (PBE) data for a relaxed structure of V3SnGe, as listed in Alexandria.

Computed properties:
distance to the lowest polymorph of the same formula: 0.00 kJ/mol of atoms
DFT formation energy: -12 meV/atom
space-group type: P-1

The structure in extended XYZ format:
```
10
Lattice="4.1288 -0.0037 0.0031 -0.0003 7.1462 -0.2060 -0.0036 -0.1581 5.5723" Properties=species:S:1:pos:R:3 pbc="T T T"
V 4.0247 0.4971 4.2947
V 1.9584 6.4389 5.0176
V 4.0262 2.9225 5.3043
V 1.9638 1.8762 0.6613
V 4.0287 3.3321 2.1598
V 1.9595 6.1871 2.5897
Ge 1.9660 4.3935 0.8286
Ge 4.0223 5.1259 3.9204
Sn 1.9623 2.0667 3.5200
Sn 4.0262 0.3064 1.4358
```

[5]
First-principles (PBE) data for a relaxed structure of La3Pr2Sm6Ho, as listed in Alexandria.

Computed properties:
DFT formation energy: 16 meV/atom
space-group type: C2/m

The structure in extended XYZ format:
```
12
Lattice="-1.5989 2.2934 5.7016 -1.4831 -5.9766 -1.5510 11.4813 -2.5095 3.0449" Properties=species:S:1:pos:R:3 pbc="T T T"
La 4.2383 -5.8521 1.1811
La 4.1611 -0.3406 6.0145
La 4.1997 -3.0964 3.5978
Sm 6.3435 -6.0307 4.2087
Sm 6.3050 -3.2854 6.6163
Sm 0.5295 -3.3839 3.8671
Sm 7.8699 -2.8088 3.3285
Sm 2.0943 -2.9074 0.5793
Sm 2.0559 -0.1620 2.9869
Ho 0.0000 0.0000 0.0000
Pr -1.5603 -0.4638 3.2837
Pr -1.5217 -3.2195 0.8670
```

[6]
First-principles (PBE) data for a relaxed structure of Ac3UPa3N8, as listed in Alexandria.

Computed properties:
formation energy without anion corrections: -130 kJ/mol of atoms
space-group type: R-3m

The structure in extended XYZ format:
```
15
Lattice="7.1991 0.0000 0.0002 -3.5996 6.2345 -0.0214 0.0002 -4.1357 6.1345" Properties=species:S:1:pos:R:3 pbc="T T T"
N 1.8724 3.1733 4.1140
N 0.0000 2.0842 1.9120
N 1.7273 -1.0745 1.9993
N 5.4719 -1.0745 1.9994
N 3.5997 0.0146 4.2013
N 0.0001 -0.0700 4.1250
N 3.5996 2.1688 1.9883
N -1.8722 3.1733 4.1139
Pa 3.5996 -2.0679 3.0673
Pa -1.7997 1.0494 3.0566
Pa 1.7998 1.0494 3.0566
Ac -1.7998 3.1173 -0.0107
Ac 1.7998 3.1172 -0.0106
Ac 0.0000 0.0000 0.0000
U 0.0001 -2.0678 3.0672
```